(1)
A relaxed structure of Tc2B2Au. Source: the Alexandria database, functional GGA-PBE.

a = 3.946 Å, b = 3.946 Å, c = 8.223 Å
α = 90.00°, β = 90.00°, γ = 90.00°
Space group I4/mmm (No. 139)
Asymmetric unit:
Tc  0.000  0.000  0.151
B  0.000  0.500  0.250
Au  0.000  0.000  0.500

## Properties
VASP energy, eV/atom: -7.12
Calculated formation energy, eV/atom: 0.36
Mass density, Mg/m³: 10.75
M_tot, μB/atom: 0.000

(2)
A relaxed structure of Cr2HOs. Source: the Alexandria database, functional GGA-PBE.

a = 4.389 Å, b = 2.761 Å, c = 6.820 Å
α = 90.00°, β = 104.05°, γ = 90.00°
Space group P2_1/m (No. 11)
Asymmetric unit:
Cr  0.139  0.250  0.132
Cr  0.347  0.250  0.801
H  0.285  0.750  0.976
Os  0.230  0.750  0.455

## Properties
VASP energy, eV/atom: -8.36
Mass density, Mg/m³: 12.23
M_tot, μB/atom: 0.000

(3)
A relaxed structure of Ba2CdFeN. Source: the Alexandria database, functional GGA-PBE.

a = 5.970 Å, b = 5.970 Å, c = 3.638 Å
α = 90.00°, β = 90.00°, γ = 90.00°
Space group P4/mmm (No. 123)
Asymmetric unit:
Ba  0.000  0.500  0.000
Cd  0.000  0.000  0.500
Fe  0.500  0.500  0.500
N  0.500  0.500  0.000

## Properties
VASP energy, eV/atom: -4.54
Energy relative to the elements, uncorrected, eV per atom: -0.231
Mass density, Mg/m³: 5.85
M_tot, μB/atom: 0.176

(4)
A relaxed structure of AgIrAu2. Source: the Alexandria database, functional GGA-PBE.

a = 2.813 Å, b = 2.813 Å, c = 8.609 Å
α = 90.00°, β = 90.00°, γ = 90.00°
Space group P4mm (No. 99)
Asymmetric unit:
Ag  0.000  0.000  0.000
Ir  0.500  0.500  0.758
Au  0.000  0.000  0.518
Au  0.500  0.500  0.257

## Properties
VASP energy, eV/atom: -4.29
Calculated formation energy, eV/atom: 0.28
Mass density, Mg/m³: 16.92
M_tot, μB/atom: 0.161